No. 1
Computed, not measured: a relaxed structure of Sc2CdSi at the PBE level of DFT.

## Properties
- Spin magnetization: 0.00 μB/atom
- SG: I-42d
- Formation energy (no corrections): -85 meV per atom

Unit cell a=7.5497 b=7.5497 c=6.1941 alpha=52.45 beta=52.45 gamma=90.00
Atoms (fractional coordinates):
Si  0.5000  0.5000  0.0000
Si  0.2500  0.7500  0.5000
Sc  0.3750  0.4031  0.7500
Sc  0.1531  0.6250  0.2500
Sc  0.8750  0.8469  0.7500
Sc  0.5969  0.1250  0.2500
Cd  0.0000  0.0000  0.0000
Cd  0.7500  0.2500  0.5000

***

No. 2
Computed, not measured: a relaxed structure of Sc2CdSi at the PBE level of DFT.

## Properties
- Spin magnetization: 0.00 μB/atom
- SG: P4/mmm
- Formation energy (no corrections): -398 meV per atom

Unit cell a=4.5026 b=3.8827 c=4.5032 alpha=90.00 beta=90.00 gamma=90.00
Atoms (fractional coordinates):
Sc  0.5000  0.1250  0.3750
Sc  0.0000  0.1250  0.8751
Si  0.0000  0.6250  0.3751
Cd  0.5000  0.6250  0.8748

***

Which value of formation energy (no corrections) does entry 2 give? -398 meV per atom